Record 1
DFT (PBE) results for a relaxed structure of Co2SiTe.

**Electronic total energy**: -5.61 eV/atom
**Space group**: P4/mmm
**Volume**: 56.5 Å³/cell
**Raw formation energy**: 0.0822 eV per atom

extended XYZ file:
```
4
Lattice="2.903 0.007 0.000 -0.009 2.903 0.000 0.000 0.000 6.703" Properties=species:S:1:pos:R:3 pbc="T T T"
Co 0.000 0.000 0.400
Co 0.000 0.000 2.951
Si 1.447 1.455 1.676
Te 1.447 1.455 5.027
```

Record 2
DFT (PBE) results for a relaxed structure of TbPm4NdSe8.

**Electronic total energy**: -5.75 eV/atom
**Space group**: R3m
**Volume**: 453.5 Å³/cell
**Raw formation energy**: -1.7299 eV per atom

extended XYZ file:
```
14
Lattice="-5.555 -3.093 5.850 2.717 -5.583 6.008 0.582 2.454 8.230" Properties=species:S:1:pos:R:3 pbc="T T T"
Tb -2.838 -8.674 11.860
Pm -1.696 -5.096 8.456
Pm -3.902 -4.662 12.971
Pm 0.225 -5.904 13.049
Pm -2.547 -7.447 15.968
Nd -0.560 -1.123 11.634
Se 1.227 -3.241 12.212
Se -3.239 -1.897 12.127
Se -0.239 -0.227 8.968
Se -0.529 -1.434 5.119
Se -3.475 -2.995 7.877
Se 0.967 -4.332 7.962
Se -2.016 -5.993 11.103
Se -1.723 -4.772 14.982
```